SrCrCo2Pd: optimized geometry, GGA-PBE.

N(E_F)	14.47	states/eV/cell
formation energy	12.55	eV per formula unit
ρ	6.6	Mg/m³

Geometry as CIF:
```
data_SrCrCo2Pd
_chemical_formula_sum 'Sr1 Cr1 Co2 Pd1'
_cell_length_a 4.473
_cell_length_b 4.587
_cell_length_c 4.473
_cell_angle_alpha 90.00
_cell_angle_beta 90.00
_cell_angle_gamma 90.00
_symmetry_space_group_name_H-M 'P 1'
_symmetry_Int_Tables_number 1
_symmetry_space_group_name_Hall 'P 1'
loop_
_atom_site_label
_atom_site_type_symbol
_atom_site_fract_x
_atom_site_fract_y
_atom_site_fract_z
Sr1 Sr 0.000 0.000 0.000
Co1 Co 0.000 0.000 0.500
Co2 Co 0.500 0.000 0.000
Pd1 Pd 0.500 0.500 0.500
Cr1 Cr 0.000 0.500 0.000
```

***

Li2HgSe2: optimized geometry, GGA-PBE.

N(E_F)	5.33	states/eV/cell
relative energy among the computed polymorphs	0.1113	eV per atom
ρ	6.2	Mg/m³

Geometry as CIF:
```
data_Li2HgSe2
_chemical_formula_sum 'Li4 Hg2 Se4'
_cell_length_a 8.363
_cell_length_b 8.363
_cell_length_c 2.851
_cell_angle_alpha 90.00
_cell_angle_beta 90.00
_cell_angle_gamma 90.00
_symmetry_space_group_name_H-M 'P 1'
_symmetry_Int_Tables_number 1
_symmetry_space_group_name_Hall 'P 1'
loop_
_atom_site_label
_atom_site_type_symbol
_atom_site_fract_x
_atom_site_fract_y
_atom_site_fract_z
Hg1 Hg 0.000 0.000 0.000
Hg2 Hg 0.500 0.500 0.000
Se1 Se 0.160 0.660 0.500
Se2 Se 0.660 0.840 0.500
Se3 Se 0.840 0.340 0.500
Se4 Se 0.340 0.160 0.500
Li1 Li 0.367 0.867 0.000
Li2 Li 0.867 0.633 0.000
Li3 Li 0.633 0.133 0.000
Li4 Li 0.133 0.367 0.000
```

***

Ni2AgRh: optimized geometry, GGA-PBE.

N(E_F)	16.11	states/eV/cell
formation energy	2.52	eV per formula unit
ρ	9.2	Mg/m³

Geometry as CIF:
```
data_Ni2AgRh
_chemical_formula_sum 'Ni4 Ag2 Rh2'
_cell_length_a 6.713
_cell_length_b 6.713
_cell_length_c 5.430
_cell_angle_alpha 51.82
_cell_angle_beta 51.82
_cell_angle_gamma 90.00
_symmetry_space_group_name_H-M 'P 1'
_symmetry_Int_Tables_number 1
_symmetry_space_group_name_Hall 'P 1'
loop_
_atom_site_label
_atom_site_type_symbol
_atom_site_fract_x
_atom_site_fract_y
_atom_site_fract_z
Ni1 Ni 0.606 0.125 0.250
Ni2 Ni 0.144 0.625 0.250
Ni3 Ni 0.375 0.394 0.750
Ni4 Ni 0.875 0.856 0.750
Rh1 Rh 0.500 0.500 0.000
Rh2 Rh 0.250 0.750 0.500
Ag1 Ag 0.000 0.000 0.000
Ag2 Ag 0.750 0.250 0.500
```

***

Ac2Tb6Er5: optimized geometry, GGA-PBE.

N(E_F)	35.12	states/eV/cell
formation energy	1.56	eV per formula unit
ρ	8.5	Mg/m³

Geometry as CIF:
```
data_Ac2Tb6Er5
_chemical_formula_sum 'Ac4 Tb12 Er10'
_cell_length_a 3.642
_cell_length_b 11.900
_cell_length_c 20.272
_cell_angle_alpha 90.00
_cell_angle_beta 90.00
_cell_angle_gamma 90.00
_symmetry_space_group_name_H-M 'P 1'
_symmetry_Int_Tables_number 1
_symmetry_space_group_name_Hall 'P 1'
loop_
_atom_site_label
_atom_site_type_symbol
_atom_site_fract_x
_atom_site_fract_y
_atom_site_fract_z
Ac1 Ac 0.000 0.339 0.279
Ac2 Ac 0.000 0.661 0.721
Ac3 Ac 0.000 0.839 0.221
Ac4 Ac 0.000 0.161 0.779
Tb1 Tb 0.000 0.076 0.363
Tb2 Tb 0.000 0.924 0.637
Tb3 Tb 0.000 0.576 0.137
Tb4 Tb 0.000 0.424 0.863
Tb5 Tb 0.500 0.319 0.118
Tb6 Tb 0.500 0.681 0.882
Tb7 Tb 0.500 0.819 0.382
Tb8 Tb 0.500 0.181 0.618
Tb9 Tb 0.000 0.559 0.425
Tb10 Tb 0.000 0.441 0.575
Tb11 Tb 0.000 0.059 0.075
Tb12 Tb 0.000 0.941 0.925
Er1 Er 0.500 0.300 0.448
Er2 Er 0.500 0.700 0.552
Er3 Er 0.500 0.800 0.052
Er4 Er 0.500 0.200 0.948
Er5 Er 0.500 0.600 0.282
Er6 Er 0.500 0.400 0.718
Er7 Er 0.500 0.100 0.218
Er8 Er 0.500 0.900 0.782
Er9 Er 0.500 0.500 0.000
Er10 Er 0.500 0.000 0.500
```

***

The lowest N(E_F) belongs to which entry? Li2HgSe2